Entry 1:
First-principles (PBEsol) data for a relaxed structure of MgTl2, as listed in Alexandria via LeMat-Bulk.

Summary:
Magnetic moment   0.000 μB per formula unit
Fermi-level density of states   0.46 states/eV per atom
Symmetry   Immm, No. 71
Energy of formation   0.02 eV/atom
E_tot   -6.93 eV per formula unit

Cell lengths 3.405, 5.459, 8.511 Å; angles 90.00, 90.00, 90.00 degrees
Atoms (fractional coordinates):
Tl 0.500 0.999 0.314
Tl 0.500 0.001 0.686
Tl 0.000 0.499 0.186
Tl 0.000 0.501 0.814
Mg 0.500 0.500 0.500
Mg 0.000 0.000 0.000

***

Entry 2:
First-principles (PBEsol) data for a relaxed structure of MgTl3, as listed in Alexandria via LeMat-Bulk.

Summary:
Magnetic moment   0.000 μB per formula unit
Fermi-level density of states   0.47 states/eV per atom
Symmetry   P4/mmm, No. 123
Energy of formation   -0.01 eV/atom
E_tot   -9.63 eV per formula unit

Cell lengths 3.776, 5.298, 5.298 Å; angles 90.00, 90.00, 90.00 degrees
Atoms (fractional coordinates):
Tl 0.000 0.500 0.500
Tl 0.500 0.000 0.500
Tl 0.500 0.500 0.000
Mg 0.000 0.000 0.000

***

Entry 3:
First-principles (PBEsol) data for a relaxed structure of Mg3Tl, as listed in Alexandria via LeMat-Bulk.

Summary:
Magnetic moment   0.000 μB per formula unit
Fermi-level density of states   0.40 states/eV per atom
Symmetry   Cmcm, No. 63
Energy of formation   -0.05 eV/atom
E_tot   -7.97 eV per formula unit

Cell lengths 5.328, 6.289, 6.313 Å; angles 60.12, 90.00, 90.00 degrees
Atoms (fractional coordinates):
Mg 0.750 0.087 0.826
Mg 0.250 0.907 0.685
Mg 0.250 0.913 0.174
Mg 0.750 0.592 0.315
Mg 0.750 0.093 0.315
Mg 0.250 0.408 0.685
Tl 0.250 0.400 0.200
Tl 0.750 0.600 0.800

***

Entry 4:
First-principles (PBEsol) data for a relaxed structure of MgTl3, as listed in Alexandria via LeMat-Bulk.

Summary:
Magnetic moment   0.000 μB per formula unit
Fermi-level density of states   0.43 states/eV per atom
Symmetry   I4/mmm, No. 139
Energy of formation   -0.01 eV/atom
E_tot   -9.64 eV per formula unit

Cell lengths 4.652, 4.652, 5.857 Å; angles 113.40, 113.40, 90.00 degrees
Atoms (fractional coordinates):
Mg 0.000 0.000 0.000
Tl 0.750 0.250 0.500
Tl 0.500 0.500 0.000
Tl 0.250 0.750 0.500

***

Entry 5:
First-principles (PBEsol) data for a relaxed structure of Mg3Tl, as listed in Alexandria via LeMat-Bulk.

Summary:
Magnetic moment   0.000 μB per formula unit
Fermi-level density of states   0.39 states/eV per atom
Symmetry   P6_3/mmc, No. 194
Energy of formation   -0.07 eV/atom
E_tot   -8.07 eV per formula unit

Cell lengths 5.184, 6.316, 6.316 Å; angles 120.00, 90.00, 90.00 degrees
Atoms (fractional coordinates):
Mg 0.750 0.166 0.834
Mg 0.750 0.669 0.834
Mg 0.750 0.166 0.331
Mg 0.250 0.834 0.166
Mg 0.250 0.834 0.669
Mg 0.250 0.331 0.166
Tl 0.750 0.667 0.333
Tl 0.250 0.333 0.667

***

Entry 6:
First-principles (PBEsol) data for a relaxed structure of MgTl2, as listed in Alexandria via LeMat-Bulk.

Summary:
Magnetic moment   0.000 μB per formula unit
Fermi-level density of states   0.46 states/eV per atom
Symmetry   P-3m1, No. 164
Energy of formation   -0.02 eV/atom
E_tot   -7.03 eV per formula unit

Cell lengths 3.450, 3.450, 7.511 Å; angles 90.00, 90.00, 120.00 degrees
Atoms (fractional coordinates):
Mg 0.000 0.000 0.000
Tl 0.333 0.667 0.324
Tl 0.667 0.333 0.676

***

Entry 7:
First-principles (PBEsol) data for a relaxed structure of MgTl3, as listed in Alexandria via LeMat-Bulk.

Summary:
Magnetic moment   0.000 μB per formula unit
Fermi-level density of states   0.45 states/eV per atom
Symmetry   Immm, No. 71
Energy of formation   -0.01 eV/atom
E_tot   -9.66 eV per formula unit

Cell lengths 3.547, 5.439, 6.367 Å; angles 115.28, 106.17, 90.00 degrees
Atoms (fractional coordinates):
Tl 0.262 0.262 0.525
Tl 0.738 0.738 0.475
Tl 0.500 0.000 0.000
Mg 0.000 0.500 0.000

***

Entry 8:
First-principles (PBEsol) data for a relaxed structure of MgTl3, as listed in Alexandria via LeMat-Bulk.

Summary:
Magnetic moment   0.000 μB per formula unit
Fermi-level density of states   0.43 states/eV per atom
Symmetry   Pm-3n, No. 223
Energy of formation   0.02 eV/atom
E_tot   -9.53 eV per formula unit

Cell lengths 6.001, 6.001, 6.001 Å; angles 90.00, 90.00, 90.00 degrees
Atoms (fractional coordinates):
Tl 0.000 0.250 0.500
Tl 0.500 0.000 0.250
Tl 0.250 0.500 0.000
Tl 0.000 0.750 0.500
Tl 0.750 0.500 0.000
Tl 0.500 0.000 0.750
Mg 0.000 0.000 0.000
Mg 0.500 0.500 0.500

***

Entry 9:
First-principles (PBEsol) data for a relaxed structure of Mg3Tl5, as listed in Alexandria via LeMat-Bulk.

Summary:
Magnetic moment   0.000 μB per formula unit
Fermi-level density of states   0.36 states/eV per atom
Symmetry   Cmmm, No. 65
Energy of formation   -0.04 eV/atom
E_tot   -18.59 eV per formula unit

Cell lengths 5.057, 6.402, 6.402 Å; angles 103.53, 90.00, 90.00 degrees
Atoms (fractional coordinates):
Tl 0.000 0.500 0.000
Tl 0.000 0.000 0.000
Tl 0.500 0.270 0.270
Tl 0.000 0.000 0.500
Tl 0.500 0.730 0.730
Mg 0.000 0.500 0.500
Mg 0.500 0.241 0.759
Mg 0.500 0.759 0.241

***

Entry 10:
First-principles (PBEsol) data for a relaxed structure of Mg3Tl, as listed in Alexandria via LeMat-Bulk.

Summary:
Magnetic moment   0.000 μB per formula unit
Fermi-level density of states   0.37 states/eV per atom
Symmetry   P4/mmm, No. 123
Energy of formation   -0.04 eV/atom
E_tot   -7.96 eV per formula unit

Cell lengths 3.742, 3.742, 6.516 Å; angles 90.00, 90.00, 90.00 degrees
Atoms (fractional coordinates):
Mg 0.500 0.500 0.000
Mg 0.000 0.000 0.249
Mg 0.000 0.000 0.751
Tl 0.500 0.500 0.500

***

Entry 11:
First-principles (PBEsol) data for a relaxed structure of Mg3Tl5, as listed in Alexandria via LeMat-Bulk.

Summary:
Magnetic moment   0.000 μB per formula unit
Fermi-level density of states   0.46 states/eV per atom
Symmetry   P6_3/mcm, No. 193
Energy of formation   -0.02 eV/atom
E_tot   -18.45 eV per formula unit

Cell lengths 6.225, 8.717, 8.717 Å; angles 120.00, 90.00, 90.00 degrees
Atoms (fractional coordinates):
Tl 0.750 0.230 0.000
Tl 0.000 0.333 0.667
Tl 0.500 0.333 0.667
Tl 0.750 0.000 0.230
Tl 0.750 0.770 0.770
Tl 0.250 0.000 0.770
Tl 0.500 0.667 0.333
Tl 0.000 0.667 0.333
Tl 0.250 0.770 0.000
Tl 0.250 0.230 0.230
Mg 0.750 0.405 0.405
Mg 0.750 0.000 0.595
Mg 0.250 0.000 0.405
Mg 0.750 0.595 0.000
Mg 0.250 0.595 0.595
Mg 0.250 0.405 0.000

***

Entry 12:
First-principles (PBEsol) data for a relaxed structure of MgTl2, as listed in Alexandria via LeMat-Bulk.

Summary:
Magnetic moment   0.000 μB per formula unit
Fermi-level density of states   0.38 states/eV per atom
Symmetry   I4/mmm, No. 139
Energy of formation   -0.03 eV/atom
E_tot   -7.08 eV per formula unit

Cell lengths 3.567, 3.567, 6.535 Å; angles 105.84, 105.84, 90.00 degrees
Atoms (fractional coordinates):
Tl 0.158 0.158 0.317
Tl 0.842 0.842 0.683
Mg 0.500 0.500 0.000

***

Entry 13:
First-principles (PBEsol) data for a relaxed structure of MgTl2, as listed in Alexandria via LeMat-Bulk.

Summary:
Magnetic moment   0.000 μB per formula unit
Fermi-level density of states   0.43 states/eV per atom
Symmetry   Cm, No. 8
Energy of formation   -0.02 eV/atom
E_tot   -7.05 eV per formula unit

Cell lengths 3.495, 6.188, 7.663 Å; angles 103.02, 90.00, 106.40 degrees
Atoms (fractional coordinates):
Tl 0.704 0.409 0.950
Tl 0.391 0.783 0.262
Tl 0.058 0.116 0.595
Tl 0.340 0.681 0.682
Mg 0.995 0.989 0.000
Mg 0.678 0.357 0.344

***

Entry 14:
First-principles (PBEsol) data for a relaxed structure of Mg3Tl, as listed in Alexandria via LeMat-Bulk.

Summary:
Magnetic moment   0.000 μB per formula unit
Fermi-level density of states   0.38 states/eV per atom
Symmetry   Pm-3n, No. 223
Energy of formation   -0.04 eV/atom
E_tot   -7.96 eV per formula unit

Cell lengths 5.654, 5.654, 5.654 Å; angles 90.00, 90.00, 90.00 degrees
Atoms (fractional coordinates):
Mg 0.500 0.000 0.250
Mg 0.250 0.500 0.000
Mg 0.750 0.500 0.000
Mg 0.500 0.000 0.750
Mg 0.000 0.750 0.500
Mg 0.000 0.250 0.500
Tl 0.500 0.500 0.500
Tl 0.000 0.000 0.000

***

Entry 15:
First-principles (PBEsol) data for a relaxed structure of MgTl3, as listed in Alexandria via LeMat-Bulk.

Summary:
Magnetic moment   0.000 μB per formula unit
Fermi-level density of states   0.39 states/eV per atom
Symmetry   Cmmm, No. 65
Energy of formation   -0.01 eV/atom
E_tot   -9.63 eV per formula unit

Cell lengths 3.764, 5.346, 5.346 Å; angles 101.24, 90.00, 90.00 degrees
Atoms (fractional coordinates):
Mg 0.000 0.000 0.000
Tl 0.500 0.500 0.000
Tl 0.500 0.000 0.500
Tl 0.000 0.500 0.500

***

Entry 16:
First-principles (PBEsol) data for a relaxed structure of Mg4Tl3, as listed in Alexandria via LeMat-Bulk.

Summary:
Magnetic moment   0.000 μB per formula unit
Fermi-level density of states   0.42 states/eV per atom
Symmetry   I4/mmm, No. 139
Energy of formation   -0.04 eV/atom
E_tot   -15.03 eV per formula unit

Cell lengths 3.910, 3.910, 11.309 Å; angles 99.96, 99.96, 90.00 degrees
Atoms (fractional coordinates):
Mg 0.144 0.144 0.289
Mg 0.430 0.430 0.860
Mg 0.570 0.570 0.140
Mg 0.856 0.856 0.711
Tl 0.290 0.290 0.580
Tl 0.000 0.000 0.000
Tl 0.710 0.710 0.420

***

Entry 17:
First-principles (PBEsol) data for a relaxed structure of Mg3Tl, as listed in Alexandria via LeMat-Bulk.

Summary:
Magnetic moment   0.001 μB per formula unit
Fermi-level density of states   0.53 states/eV per atom
Symmetry   Pm-3m, No. 221
Energy of formation   0.48 eV/atom
E_tot   -5.88 eV per formula unit

Cell lengths 5.396, 5.396, 5.396 Å; angles 90.00, 90.00, 90.00 degrees
Atoms (fractional coordinates):
Mg 0.000 0.500 0.000
Mg 0.000 0.000 0.500
Mg 0.500 0.000 0.000
Tl 0.000 0.000 0.000

***

Entry 18:
First-principles (PBEsol) data for a relaxed structure of MgTl3, as listed in Alexandria via LeMat-Bulk.

Summary:
Magnetic moment   0.000 μB per formula unit
Fermi-level density of states   0.50 states/eV per atom
Symmetry   Pnma, No. 62
Energy of formation   -0.01 eV/atom
E_tot   -9.66 eV per formula unit

Cell lengths 6.393, 6.244, 10.567 Å; angles 90.00, 90.00, 90.00 degrees
Atoms (fractional coordinates):
Tl 0.110 0.263 0.022
Tl 0.610 0.237 0.522
Tl 0.110 0.263 0.478
Tl 0.349 0.495 0.750
Tl 0.890 0.737 0.522
Tl 0.390 0.763 0.022
Tl 0.651 0.505 0.250
Tl 0.390 0.763 0.478
Tl 0.610 0.237 0.978
Tl 0.849 0.005 0.250
Tl 0.890 0.737 0.978
Tl 0.151 0.995 0.750
Mg 0.135 0.587 0.250
Mg 0.635 0.913 0.750
Mg 0.365 0.087 0.250
Mg 0.865 0.413 0.750

***

Entry 19:
First-principles (PBEsol) data for a relaxed structure of MgTl3, as listed in Alexandria via LeMat-Bulk.

Summary:
Magnetic moment   0.000 μB per formula unit
Fermi-level density of states   0.51 states/eV per atom
Symmetry   C2/m, No. 12
Energy of formation   -0.01 eV/atom
E_tot   -9.65 eV per formula unit

Cell lengths 3.555, 5.440, 6.118 Å; angles 110.11, 106.89, 90.00 degrees
Atoms (fractional coordinates):
Mg 0.000 0.000 0.000
Tl 0.737 0.238 0.474
Tl 0.263 0.762 0.526
Tl 0.500 0.500 0.000

***

Entry 20:
First-principles (PBEsol) data for a relaxed structure of MgTl2, as listed in Alexandria via LeMat-Bulk.

Summary:
Magnetic moment   0.000 μB per formula unit
Fermi-level density of states   0.51 states/eV per atom
Symmetry   I4/mcm, No. 140
Energy of formation   -0.02 eV/atom
E_tot   -7.03 eV per formula unit

Cell lengths 5.894, 5.894, 5.894 Å; angles 105.28, 105.28, 118.23 degrees
Atoms (fractional coordinates):
Tl 0.158 0.342 0.500
Tl 0.842 0.658 0.500
Tl 0.658 0.158 0.815
Tl 0.342 0.842 0.185
Mg 0.750 0.750 0.000
Mg 0.250 0.250 0.000